Ru2WBr | GGA-PBE | relaxed

The space group is Cmmm. Its uncorrected formation energy is 3.6 eV/f.u. As for the offset from the most stable computed form: 10.78 kcal/mol of atoms. The volume is 63 Å³ per cell.

Lattice parameters (Å, degrees): 4.6929 4.6929 2.9086 90.00 90.00 100.97
Atoms (fractional coordinates):
1 Ru 0.0000 0.5000 0.0000
2 Ru 0.5000 0.0000 0.0000
3 W 0.0000 0.0000 0.5000
4 Br 0.5000 0.5000 0.5000

Al2FeRh | GGA-PBE | relaxed

The space group is Imm2. The volume is 54 Å³ per cell. The energy of formation is -0.522 eV per atom.

Lattice parameters (Å, degrees): 5.1029 5.1029 5.1029 146.51 132.42 59.43
Atoms (fractional coordinates):
1 Al 0.0000 0.0000 0.0000
2 Al 0.7272 0.2272 0.5000
3 Fe 0.2352 0.7352 0.5000
4 Rh 0.4835 0.4835 0.0000

TcSbIr2 | GGA-PBE | relaxed

The space group is C2/m. Its uncorrected formation energy is 0.6 eV/f.u. The volume is 64 Å³ per cell.

Lattice parameters (Å, degrees): 4.8957 4.8957 4.7197 97.99 97.99 34.87
Atoms (fractional coordinates):
1 Tc 0.0000 0.0000 0.0000
2 Sb 0.5000 0.5000 0.5000
3 Ir 0.2568 0.2568 0.7647
4 Ir 0.7432 0.7432 0.2353

What did we get for M_tot? Answer: 0.0, 2.0, 0.0 μB/cell, in the order shown.